Entry 1:
{"formula": "Rb2NpGeO6", "functional": "PBE", "state": "relaxed", "cell": [[-1.7815, 1.4251, -5.3252], [-5.5096, -0.6796, 1.6567], [-3.7990, 4.3104, -0.7291]], "species": ["Rb", "Rb", "Np", "Ge", "O", "O", "O", "O", "O", "O"], "frac_coords": [[0.7500, 0.2500, 0.5000], [0.2500, 0.7500, 0.5000], [0.0000, 0.0000, 0.0000], [0.5000, 0.5000, 0.0000], [0.2583, 0.2583, 0.4835], [0.7436, 0.7437, 0.0000], [0.2574, 0.7426, 0.0000], [0.7426, 0.2574, 0.0000], [0.2564, 0.2563, 0.0000], [0.7417, 0.7417, 0.5165]], "n_ef_per_ev_cell": 0.11, "formation_energy_uncorrected_mev_per_atom": -2065}

=====

Entry 2:
{"formula": "CdGaSi2", "functional": "PBE", "state": "relaxed", "cell": [[0.0000, 3.3414, 3.3414], [3.3414, 0.0000, 3.3414], [3.3414, 3.3414, 0.0000]], "species": ["Si", "Si", "Ga", "Cd"], "frac_coords": [[0.2500, 0.2500, 0.2500], [0.7500, 0.7500, 0.7500], [0.0000, 0.0000, 0.0000], [0.5000, 0.5000, 0.5000]], "n_ef_per_ev_cell": 1.65, "formation_energy_uncorrected_mev_per_atom": 487}

=====

Entry 3:
{"formula": "ZrTaSi", "functional": "PBE", "state": "relaxed", "cell": [[7.2173, 0.0000, -0.0020], [0.0000, 3.6225, 0.0000], [-5.4063, 0.0000, 8.2798]], "species": ["Si", "Si", "Si", "Si", "Zr", "Zr", "Zr", "Zr", "Ta", "Ta", "Ta", "Ta"], "frac_coords": [[0.1775, 0.0000, 0.7429], [0.1775, 0.5000, 0.2429], [0.8561, 0.0000, 0.4718], [0.8561, 0.5000, 0.9718], [0.5699, 0.0000, 0.7659], [0.5699, 0.5000, 0.2659], [0.8621, 0.0000, 0.1918], [0.8621, 0.5000, 0.6918], [0.1665, 0.0000, 0.0167], [0.1665, 0.5000, 0.5167], [0.4419, 0.0000, 0.4385], [0.4419, 0.5000, 0.9385]], "n_ef_per_ev_cell": 6.56, "formation_energy_uncorrected_mev_per_atom": -507}

=====

Entry 4:
{"formula": "Ac4SnSb2Br", "functional": "PBE", "state": "relaxed", "cell": [[6.7021, 0.3646, 0.0000], [-0.3655, 6.7020, 0.0000], [-3.1683, -3.5333, 6.7583]], "species": ["Ac", "Ac", "Ac", "Ac", "Sn", "Sb", "Sb", "Br"], "frac_coords": [[0.9376, 0.4375, 0.0000], [0.4375, 0.9376, 0.0000], [0.1800, 0.1800, 0.4862], [0.6939, 0.6939, 0.5138], [0.9373, 0.9373, 0.0000], [0.1869, 0.6869, 0.5000], [0.6869, 0.1869, 0.5000], [0.4372, 0.4372, 0.0000]], "n_ef_per_ev_cell": 3.08, "formation_energy_uncorrected_mev_per_atom": -1147}